VASP calculation (PBE) on an optimized crystal structure of SrFe3Br9.

a = 9.5697 Å, b = 10.8292 Å, c = 11.5895 Å
α = 77.58°, β = 65.62°, γ = 63.78°
Last column: magnetic moment on the atom in μB.
Element x y z (fractional)
Br  0.7897  0.0092  0.7338  0.18
Br  0.9711  0.2526  0.1855  0.13
Br  0.1439  0.7172  0.8280  0.13
Br  0.2630  0.8686  0.0727  0.17
Br  0.0236  0.5845  0.2300  0.13
Br  0.8128  0.0596  0.0453  0.17
Br  0.3264  0.8396  0.4141  0.13
Br  0.1619  0.0845  0.7300  0.13
Br  0.4701  0.2536  0.5810  0.15
Br  0.4673  0.5092  0.2338  0.18
Br  0.3109  0.2172  0.3280  0.13
Br  0.7957  0.3686  0.5727  0.17
Br  0.5907  0.7526  0.6855  0.13
Br  0.0822  0.5596  0.5453  0.17
Br  0.8318  0.4377  0.8738  0.13
Br  0.8568  0.9377  0.3738  0.13
Br  0.6953  0.7536  0.0810  0.15
Br  0.4200  0.3396  0.9141  0.13
Fe  0.8171  0.5337  0.6711  3.51
Fe  0.9888  0.9600  0.8366  3.52
Fe  0.6096  0.2511  0.7106  3.52
Fe  0.9780  0.0337  0.1711  3.51
Fe  0.4287  0.7511  0.2106  3.52
Fe  0.2146  0.4600  0.3366  3.52
Sr  0.0304  0.4900  0.9953  0.02
Sr  0.4844  0.9900  0.4953  0.02

Computed properties:
**DFT total energy**: -4.0440 eV per atom
**Uncorrected formation energy**: -77.53 kJ/mol of atoms
**Spin magnetization**: 1.00 μB per atom
**Space-group type**: Cc (9)
**Mass density**: 3.30 g/cm3